Computed, not measured: a relaxed Mg3AgPb2 crystal at the PBE-GGA level of DFT.

Structure (POSCAR):
```
Mg3AgPb2
1.0
3.464 0.000 0.000
0.000 3.464 0.000
0.000 0.000 11.839
Mg Ag Pb
3 1 2
Direct
0.000 0.000 0.000
0.000 0.000 0.369
0.000 0.000 0.631
0.500 0.500 0.500
0.500 0.500 0.183
0.500 0.500 0.817
```

Results
* space group: P4/mmm, No. 123
* ΔE_f: -113 meV per atom

=====

Computed, not measured: a relaxed AcLuTh2 crystal at the PBE-GGA level of DFT.

Structure (POSCAR):
```
AcLuTh2
1.0
3.644 0.000 0.000
0.000 3.644 0.000
0.000 0.000 10.308
Ac Lu Th
1 1 2
Direct
0.000 0.000 0.000
0.000 0.000 0.500
0.500 0.500 0.266
0.500 0.500 0.734
```

Results
* excess energy over the best structure of this formula in the dataset: 0 meV per atom
* space group: P4/mmm, No. 123
* ΔE_f: 125 meV per atom

=====

Computed, not measured: a relaxed SrTbI crystal at the PBE-GGA level of DFT.

Structure (POSCAR):
```
SrTbI
1.0
3.968 0.000 0.000
-1.984 3.437 0.000
0.000 0.000 16.111
Sr Tb I
2 2 2
Direct
0.000 0.000 0.000
0.333 0.667 0.500
0.333 0.667 0.195
0.333 0.667 0.805
0.000 0.000 0.338
0.000 0.000 0.662
```

Results
* space group: P-6m2, No. 187
* formation energy (no corrections): -1.5 eV per formula unit